1.
Compound: Co2IrAu
Source: Alexandria
Functional: meta-GGA SCAN
Structure: PBEsol geometry

Cell: 5.952 5.952 5.952 Å, 90.00 90.00 90.00°
Space group Fm-3m (No. 225)
One atom of each set of equivalent atoms:
1 Co 0.250 0.250 0.250 x8
2 Ir 0.000 0.000 0.000 x4
3 Au 0.000 0.000 0.500 x4

## Properties
Calculated formation energy, eV per atom: 0.22
D(E_F), states/eV/f.u.: 4.0

2.
Compound: Co2IrAu
Source: Alexandria
Functional: meta-GGA SCAN
Structure: PBEsol geometry

Cell: 8.847 2.678 4.514 Å, 90.00 102.57 90.00°
Space group Cm (No. 8)
One atom of each set of equivalent atoms:
1 Co 0.000 0.000 0.000 x2
2 Co 0.232 0.500 0.256 x2
3 Ir 0.253 0.000 0.793 x2
4 Au 0.489 0.000 0.490 x2

## Properties
Calculated formation energy, eV per atom: 0.18
D(E_F), states/eV/f.u.: 3.3

3.
Compound: KCo2Au
Source: Alexandria
Functional: meta-GGA SCAN
Structure: PBEsol geometry

Cell: 5.139 2.641 5.143 Å, 90.00 112.73 90.00°
Space group P2/m (No. 10)
One atom of each set of equivalent atoms:
1 K 0.000 0.000 0.000 x1
2 Co 0.500 0.000 0.500 x1
3 Co 0.500 0.500 0.000 x1
4 Au 0.000 0.500 0.500 x1

## Properties
Calculated formation energy, eV per atom: 0.81
D(E_F), states/eV/f.u.: 2.2

4.
Compound: KCo2Au
Source: Alexandria
Functional: meta-GGA SCAN
Structure: PBEsol geometry

Cell: 3.339 3.339 7.127 Å, 90.00 90.00 90.00°
Space group P4/mmm (No. 123)
One atom of each set of equivalent atoms:
1 K 0.000 0.000 0.000 x1
2 Co 0.500 0.500 0.349 x2
3 Au 0.000 0.000 0.500 x1

## Properties
Calculated formation energy, eV per atom: 0.69
D(E_F), states/eV/f.u.: 2.6

Per-record theoretical density, g cm⁻³: 16.0 16.1 9.1 7.4